DFT (PBE) results for BePW after structural relaxation.

Properties
The formation enthalpy at 0 K is 559 meV per atom. As for the energy relative to the lowest polymorph listed for this composition: 755 meV per atom. As for the theoretical density: 8.40 g/cm3. The value obtained for the total energy is -6.804 eV per atom.

Geometry as POSCAR:
```
BePW
1.0
3.970 0.000 0.000
1.985 3.438 0.000
1.985 1.146 3.241
Be W P
1 1 1
Cartesian
0.000 0.000 0.000 Be
5.955 3.438 2.431 W
3.970 2.292 1.621 P
```

DFT (PBE) results for MgSnB2 after structural relaxation.

Properties
The formation enthalpy at 0 K is 1164 meV per atom. As for the energy relative to the lowest polymorph listed for this composition: 22 meV per atom. As for the theoretical density: 4.73 g/cm3. The value obtained for the total energy is -3.574 eV per atom.

Geometry as POSCAR:
```
MgSnB2
1.0
-1.891 -1.672 3.530
-2.211 2.576 2.704
-4.325 -0.283 0.216
Mg B Sn
1 2 1
Cartesian
0.000 0.000 0.000 Mg
-2.107 0.155 1.613 B
-6.321 0.466 4.838 B
-4.214 0.310 3.225 Sn
```

DFT (PBE) results for Ho5Ti after structural relaxation.

Properties
The formation enthalpy at 0 K is 136 meV per atom. As for the theoretical density: 8.53 g/cm3. The value obtained for the total energy is -4.994 eV per atom.

Geometry as POSCAR:
```
Ho5Ti
1.0
-4.495 -0.483 -1.800
-1.674 -0.939 4.431
-0.342 7.527 -1.165
Ti Ho
1 5
Cartesian
0.000 0.000 0.000 Ti
-1.209 1.762 2.548 Ho
-3.084 -0.711 1.316 Ho
-3.885 4.086 2.030 Ho
-2.625 2.019 -0.563 Ho
-0.806 4.826 0.718 Ho
```

DFT (PBE) results for RbY2Br after structural relaxation.

Properties
As for the energy relative to the lowest polymorph listed for this composition: 251 meV per atom. As for the theoretical density: 4.17 g/cm3. The value obtained for the total energy is -3.429 eV per atom. The formation energy from raw total energies is 0.464 eV per atom.

Geometry as POSCAR:
```
RbY2Br
1.0
0.000 4.088 4.088
4.088 0.000 4.088
4.088 4.088 0.000
Y Br Rb
2 1 1
Cartesian
6.132 6.132 6.132 Y
2.044 2.044 2.044 Y
0.000 0.000 0.000 Br
4.088 4.088 4.088 Rb
```

DFT (PBE) results for Zr6CoSn2 after structural relaxation.

Properties
The formation enthalpy at 0 K is -436 meV per atom. As for the theoretical density: 7.23 g/cm3. The value obtained for the total energy is -7.814 eV per atom.

Geometry as POSCAR:
```
Zr6CoSn2
1.0
3.501 0.000 0.000
0.000 7.997 0.000
0.000 -3.998 6.925
Co Zr Sn
1 6 2
Cartesian
1.750 0.000 0.000 Co
0.000 -0.966 1.674 Zr
1.750 1.582 2.741 Zr
1.750 4.832 0.000 Zr
1.750 -2.416 4.184 Zr
0.000 3.032 5.251 Zr
0.000 1.933 0.000 Zr
0.000 0.000 4.617 Sn
0.000 3.998 2.308 Sn
```

DFT (PBE) results for LaMnTl2 after structural relaxation.

Properties
The formation enthalpy at 0 K is 47 meV per atom. As for the theoretical density: 9.34 g/cm3. The value obtained for the total energy is -4.661 eV per atom.

Geometry as POSCAR:
```
LaMnTl2
1.0
-1.512 -0.697 4.495
-2.027 -4.138 -1.321
3.962 -2.254 0.983
Tl Mn La
2 1 1
Cartesian
0.000 0.000 0.000 Tl
-1.769 -2.417 1.587 Tl
0.968 -3.196 -0.169 Mn
1.225 -1.476 2.739 La
```

DFT (PBE) results for La2HfO after structural relaxation.

Properties
As for the theoretical density: 8.14 g/cm3. The value obtained for the total energy is -7.103 eV per atom. The formation energy from raw total energies is -0.911 eV per atom.

Geometry as POSCAR:
```
La2HfO
1.0
-0.113 3.323 -0.983
-0.145 0.808 -3.369
-9.333 1.164 -1.103
La O Hf
2 1 1
Cartesian
-6.250 1.235 -1.219 La
-3.341 4.060 -4.236 La
-4.796 2.647 -2.727 O
0.000 0.000 0.000 Hf
```

DFT (PBE) results for InAsOs after structural relaxation.

Properties
The formation enthalpy at 0 K is 236 meV per atom. As for the energy relative to the lowest polymorph listed for this composition: 55 meV per atom. As for the theoretical density: 11.20 g/cm3. The value obtained for the total energy is -5.970 eV per atom.

Geometry as POSCAR:
```
InAsOs
1.0
-0.781 -2.309 2.096
1.995 -0.649 -2.437
4.912 1.601 3.595
In Os As
1 1 1
Cartesian
2.795 -0.640 0.337 In
3.557 -0.643 3.083 Os
4.685 1.527 3.429 As
```